A plane-wave DFT calculation with PBE was carried out for an optimized crystal structure of Cd2TeW2.

Cell lengths 8.742, 8.742, 2.853 Å; angles 90.00, 90.00, 90.00 degrees
Space group P4/mbm (No. 127)
Unique sites:
Cd 0.189 0.311 0.000 [4 per cell]
Te 0.000 0.000 0.000 [2 per cell]
W 0.100 0.600 0.500 [4 per cell]

Output
Calculated density (Mg/m³): 11.0
Energy relative to the elements, uncorrected (eV per atom): 0.946
Energy (eV for the cell shown): -52.3

A plane-wave DFT calculation with PBE was carried out for an optimized crystal structure of CdTe2W.

Cell lengths 2.922, 3.568, 10.605 Å; angles 90.00, 90.06, 90.00 degrees
Space group P2/m (No. 10)
Unique sites:
Cd 0.000 0.000 0.000 [1 per cell]
Te 0.001 0.500 0.302 [2 per cell]
W 0.000 0.000 0.500 [1 per cell]

Output
Calculated density (Mg/m³): 8.3
Energy relative to the elements, uncorrected (eV per atom): 0.459
Energy (eV for the cell shown): -18.3

A plane-wave DFT calculation with PBE was carried out for an optimized crystal structure of CdTeW.

Cell lengths 6.547, 6.547, 6.547 Å; angles 90.00, 90.00, 90.00 degrees
Space group F-43m (No. 216)
Unique sites:
Cd 0.000 0.000 0.000 [4 per cell]
Te 0.250 0.250 0.250 [4 per cell]
W 0.000 0.000 0.500 [4 per cell]

Output
Calculated density (Mg/m³): 10.0
Energy relative to the elements, uncorrected (eV per atom): 1.207
Energy (eV for the cell shown): -53.6

A plane-wave DFT calculation with PBE was carried out for an optimized crystal structure of CdTe2W.

Cell lengths 3.401, 3.434, 18.962 Å; angles 90.00, 90.00, 90.00 degrees
Space group Imm2 (No. 44)
Unique sites:
Cd 0.000 0.000 0.000 [2 per cell]
Te 0.000 0.000 0.354 [2 per cell]
Te 0.000 0.500 0.171 [2 per cell]
W 0.000 0.500 0.746 [2 per cell]

Output
Calculated density (Mg/m³): 8.3
Energy relative to the elements, uncorrected (eV per atom): 0.301
Energy (eV for the cell shown): -37.9